Entry 1:
Sm6Y16Sc7 (GGA-PBE, optimized geometry); calculated density = 4.70 Mg/m³; E_form = 591 kJ/mol of formula units; total energy = -5.860 eV/atom; SG = Fm-3m (225)
1.0
-8.109 5.149 -5.292
-10.419 -1.645 3.002
-5.596 8.001 4.996
Sm Y Sc
6 16 7
Direct
0.289 0.711 0.289
0.711 0.289 0.711
0.711 0.289 0.289
0.289 0.711 0.711
0.711 0.711 0.289
0.289 0.289 0.711
0.881 0.881 0.357
0.881 0.881 0.881
0.881 0.357 0.881
0.357 0.881 0.881
0.119 0.119 0.119
0.119 0.119 0.643
0.119 0.643 0.119
0.643 0.119 0.119
0.656 0.656 0.031
0.656 0.656 0.656
0.656 0.031 0.656
0.031 0.656 0.656
0.344 0.344 0.344
0.344 0.344 0.969
0.344 0.969 0.344
0.969 0.344 0.344
0.000 0.000 0.000
0.500 0.000 0.500
0.000 0.500 0.000
0.000 0.500 0.500
0.500 0.000 0.000
0.000 0.000 0.500
0.500 0.500 0.000



Entry 2:
NaIn (GGA-PBE, optimized geometry); calculated density = 3.56 Mg/m³; E_form = 32 kJ/mol of formula units; total energy = -1.861 eV/atom; SG = Fm-3m (225)
1.0
-3.274 -1.905 -5.109
5.350 -2.273 -2.581
-1.053 -5.626 2.773
Na In
4 4
Direct
0.000 0.000 0.000
0.000 0.500 0.500
0.500 0.000 0.500
0.500 0.500 0.000
0.500 0.500 0.500
0.500 0.000 0.000
0.000 0.500 0.000
0.000 0.000 0.500



Entry 3:
SrCrIn2Br6 (GGA-PBE, optimized geometry); calculated density = 4.00 Mg/m³; total energy = -3.725 eV/atom; SG = P-1 (2)
1.0
8.261 -0.211 0.390
3.958 6.688 0.059
4.374 2.030 6.451
Sr Cr In Br
1 1 2 6
Direct
0.816 0.816 0.552
0.316 0.316 0.052
0.524 0.526 0.407
0.108 0.106 0.696
0.554 0.148 0.318
0.187 0.996 0.275
0.001 0.508 0.311
0.446 0.637 0.828
0.631 0.124 0.792
0.078 0.484 0.785



Entry 4:
NaAu2Cl8 (GGA-PBE, optimized geometry); calculated density = 3.62 Mg/m³; total energy = -2.510 eV/atom; SG = I422 (97)
1.0
-2.667 -1.659 -6.391
6.384 -2.408 -2.039
-3.359 -3.745 6.341
Na Au Cl
1 2 8
Direct
0.500 0.500 0.000
0.750 0.250 0.500
0.250 0.750 0.500
0.787 0.284 0.244
0.041 0.543 0.756
0.716 0.213 0.756
0.213 0.041 0.756
0.457 0.959 0.244
0.959 0.787 0.244
0.284 0.457 0.244
0.543 0.716 0.756